(1)
Material: AcAlGa2Pt
Method: DFT, PBE
State: relaxed

CIF file:
```
data_AcAlGa2Pt
_cell_length_a 4.378
_cell_length_b 4.485
_cell_length_c 10.842
_cell_angle_alpha 90.00
_cell_angle_beta 90.00
_cell_angle_gamma 90.00
_space_group_name_H-M_alt 'I m m 2'
_space_group_IT_number 44
_space_group_name_Hall 'I 2 -2'
loop_
_atom_site_label
_atom_site_type_symbol
_atom_site_fract_x
_atom_site_fract_y
_atom_site_fract_z
Ac1 Ac 0.000 0.000 0.000
Al1 Al 0.000 0.500 0.745
Ga1 Ga 0.000 0.000 0.597
Ga2 Ga 0.000 0.500 0.244
Pt1 Pt 0.000 0.000 0.360
```

Summary:
Its crystal system is orthorhombic. For the formation enthalpy at 0 K, the calculation gives -834 meV per atom. For the spin magnetization, the calculation gives 0.000 μB/atom.

---

(2)
Material: AcAlGaPt
Method: DFT, PBE
State: relaxed

CIF file:
```
data_AcAlGaPt
_cell_length_a 4.3151
_cell_length_b 4.3151
_cell_length_c 17.1529
_cell_angle_alpha 90.00
_cell_angle_beta 90.00
_cell_angle_gamma 120.00
_space_group_name_H-M_alt 'R 3 m'
_space_group_IT_number 160
_space_group_name_Hall 'R 3 -2"'
loop_
_atom_site_label
_atom_site_type_symbol
_atom_site_fract_x
_atom_site_fract_y
_atom_site_fract_z
Ac1 Ac 0.0000 0.0000 0.0000
Al1 Al 0.0000 0.0000 0.7967
Ga1 Ga 0.0000 0.0000 0.2100
Pt1 Pt 0.0000 0.0000 0.4911
```

Summary:
Its crystal system is trigonal. For the formation enthalpy at 0 K, the calculation gives -834 meV per atom. For the spin magnetization, the calculation gives 0.000 μB/atom.

---

(3)
Material: Ac2Al4Ga3Pt
Method: DFT, PBE
State: relaxed

CIF file:
```
data_Ac2Al4Ga3Pt
_cell_length_a 4.481
_cell_length_b 4.481
_cell_length_c 10.704
_cell_angle_alpha 90.00
_cell_angle_beta 90.00
_cell_angle_gamma 90.00
_space_group_name_H-M_alt 'P -4 m 2'
_space_group_IT_number 115
_space_group_name_Hall 'P -4 -2'
loop_
_atom_site_label
_atom_site_type_symbol
_atom_site_fract_x
_atom_site_fract_y
_atom_site_fract_z
Ac1 Ac 0.000 0.500 0.244
Al1 Al 0.000 0.000 0.500
Al2 Al 0.000 0.500 0.883
Al3 Al 0.500 0.500 0.500
Ga1 Ga 0.000 0.000 0.000
Ga2 Ga 0.000 0.500 0.637
Pt1 Pt 0.500 0.500 0.000
```

Summary:
Its crystal system is tetragonal. For the formation enthalpy at 0 K, the calculation gives -613 meV per atom. For the spin magnetization, the calculation gives 0.000 μB/atom.